[1]
The following is a DFT calculation (GGA-PBE) of a relaxed structure of Tb3Y7Zr.

```
22
Lattice="9.340 -2.581 -1.222 -5.640 7.879 -1.222 -1.500 -2.148 12.865" Properties=species:S:1:pos:R:3 pbc="T T T"
Y -1.175 3.372 10.741
Y 2.631 -1.290 6.120
Y 1.484 2.126 1.984
Tb 6.133 0.831 1.375
Y 3.571 0.058 10.741
Y -4.724 6.461 1.995
Y -2.117 2.026 6.120
Y -1.371 3.092 -0.321
Y 4.317 1.124 4.300
Y 0.715 1.024 8.436
Y 3.375 -0.222 -0.321
Zr 1.100 1.575 5.210
Tb 3.532 -2.895 9.045
Y -0.432 4.440 4.300
Tb -3.934 2.319 9.045
Tb 0.000 0.000 0.000
Tb -0.750 -1.074 6.432
Tb -1.333 6.044 1.375
Zr 1.850 2.649 -1.222
Y 6.923 -3.311 8.425
Y -5.493 5.359 8.425
Y 7.692 -2.209 1.995
```

- Energy: -5.990 eV per atom
- Formation energy from the elements: 0.163 eV/atom
- D(E_F): 33.81 states/eV per cell

[2]
The following is a DFT calculation (GGA-PBE) of a relaxed structure of Pm8Os3PtBr4.

```
16
Lattice="-6.659 -3.833 2.989 5.298 -6.688 3.224 1.782 7.670 2.436" Properties=species:S:1:pos:R:3 pbc="T T T"
Br 0.000 0.000 0.000
Pm -3.392 -4.637 3.358
Pm -0.350 -3.908 5.577
Pm 0.771 1.056 3.072
Os -0.680 -5.261 3.107
Pm 0.596 -0.066 6.736
Pm 2.952 -1.921 4.114
Os 0.210 -1.426 4.325
Pt 2.649 -3.344 1.612
Br -3.329 -1.917 1.495
Os 3.540 0.491 2.830
Pm 3.813 1.786 5.291
Pm -0.175 -2.785 1.914
Br 0.891 3.835 1.218
Pm -2.532 -0.931 4.536
Br -2.438 1.918 2.713
```

- Energy relative to the elements, uncorrected: -0.83 eV/atom
- Energy: -6.102 eV per atom
- D(E_F): 6.62 states/eV per cell

[3]
The following is a DFT calculation (GGA-PBE) of a relaxed structure of Pu2SeNO.

```
10
Lattice="3.868 0.000 0.000 1.934 6.326 -0.093 1.934 0.950 7.483" Properties=species:S:1:pos:R:3 pbc="T T T"
O 3.868 3.215 6.875
O 3.868 4.061 0.516
Se 1.934 2.051 2.780
Pu 3.868 1.881 5.074
Pu 3.868 5.395 2.317
Pu 3.868 1.709 0.515
Se 5.802 5.225 4.610
N 1.934 1.351 6.119
Pu 3.868 5.567 6.876
N 5.802 5.926 1.272
```

- Energy relative to the elements, uncorrected: -2.01 eV/atom
- Energy: -11.095 eV per atom
- D(E_F): 20.43 states/eV per cell

[4]
The following is a DFT calculation (GGA-PBE) of a relaxed structure of MoPt2Br.

```
4
Lattice="2.898 0.000 0.000 0.000 4.693 0.000 0.000 0.000 5.004" Properties=species:S:1:pos:R:3 pbc="T T T"
Mo 0.000 2.347 2.502
Pt 0.000 0.000 0.000
Pt 1.449 2.347 0.000
Br 1.449 0.000 2.502
```

- Energy relative to the elements, uncorrected: 0.61 eV/atom
- Energy: -5.535 eV per atom
- D(E_F): 5.54 states/eV per cell
- Distance to the lowest polymorph of the same formula: 2.26 eV per formula unit

[5]
The following is a DFT calculation (GGA-PBE) of a relaxed structure of K2LiPa2O7.

```
12
Lattice="-0.283 2.695 3.433 -1.860 -3.187 2.348 8.978 -3.575 6.330" Properties=species:S:1:pos:R:3 pbc="T T T"
O 6.983 -1.614 7.410
K 5.124 -2.298 5.010
O 6.195 -4.553 6.868
O 4.133 -2.570 7.928
O 2.702 -1.496 4.184
Pa 0.865 -0.887 3.555
O -0.148 -2.453 4.701
Pa 5.971 -3.179 8.557
O -1.071 -0.246 2.891
K 1.711 -1.769 7.101
O 0.640 0.487 5.243
Li 0.000 0.000 0.000
```

- Energy relative to the elements, uncorrected: -2.67 eV/atom
- Energy: -7.486 eV per atom
- D(E_F): 7.13 states/eV per cell

[6]
The following is a DFT calculation (GGA-PBE) of a relaxed structure of Na3Tl3CuI8.

```
15
Lattice="-0.941 -8.557 3.519 4.923 6.408 4.609 -9.724 0.941 -0.311" Properties=species:S:1:pos:R:3 pbc="T T T"
I -3.066 -1.582 0.780
I -2.676 0.374 7.037
Na -5.333 -3.808 1.604
I -4.894 1.570 2.509
Na -2.401 3.675 2.149
Tl 1.991 -1.074 4.064
I -0.849 -2.777 5.309
Tl 0.000 0.000 0.000
Tl 2.461 3.204 2.305
I -3.590 -6.346 2.739
I -5.350 -2.573 4.602
I -0.393 1.366 3.215
Na -2.871 -0.604 3.909
Cu -4.862 0.471 -0.156
I -2.152 5.139 5.078
```

- Energy relative to the elements, uncorrected: -0.73 eV/atom
- Energy: -2.568 eV per atom
- D(E_F): 7.78 states/eV per cell